Er3Mg3InIr2 after structural relaxation, computed with PBE-GGA.

E_tot (eV/atom): -4.82

a = 7.3606 Å, b = 7.3606 Å, c = 4.1760 Å
α = 90.00°, β = 90.00°, γ = 120.00°
Space group P-62m (No. 189)
One atom of each set of equivalent atoms:
Er1 0.0000 0.5735 0.0000 (multiplicity 3)
Mg1 0.0000 0.2616 0.5000 (multiplicity 3)
In1 0.0000 0.0000 0.0000 (multiplicity 1)
Ir1 0.3333 0.6667 0.5000 (multiplicity 2)

CdSnTeO after structural relaxation, computed with PBE-GGA.

Energy above the lowest structure with this stoichiometry (eV per formula unit): 0.49
E_tot (eV/atom): -3.85

a = 6.461 Å, b = 7.384 Å, c = 8.843 Å
α = 90.00°, β = 90.00°, γ = 90.00°
Space group P2_12_12_1 (No. 19)
One atom of each set of equivalent atoms:
Cd1 0.004 0.186 0.080 (multiplicity 4)
Sn1 0.048 0.647 0.988 (multiplicity 4)
Te1 0.242 0.022 0.771 (multiplicity 4)
O1 0.208 0.414 0.003 (multiplicity 4)

> E_tot of number 2 (CdSnTeO)?

-3.85 eV/atom